Here is a crystal of Li4Ca5 relaxed with PBEsol from Alexandria. Energies are from meta-GGA SCAN.

Summary:
- N(E_F): 13.84 states/eV/cell
- Magnetic moment: 0.429 μB/f.u.
- Formation enthalpy at 0 K: 3.87 kJ/mol of atoms

Unit cell a=9.8508 b=9.8508 c=6.9326 alpha=90.00 beta=90.00 gamma=120.00
Space group P6_3/mcm (No. 193)
Inequivalent atoms, fractional coordinates:
Li 0.0000 0.0000 0.0000 [2 per cell]
Li 0.0000 0.3710 0.2500 [6 per cell]
Ca 0.0000 0.2892 0.7500 [6 per cell]
Ca 0.3333 0.6667 0.0000 [4 per cell]